## A
Below is a relaxed structure of KB4W, with properties calculated at the PBE level.

Cell: 3.0381 5.5805 7.2923 Å, 90.00 90.00 90.00°
Sites, in units of the cell vectors:
K 0.0000 0.0000 0.0000
K 0.5000 0.5000 0.5000
B 0.0000 0.3379 0.2369
B 0.0000 0.3379 0.7631
B 0.0000 0.6621 0.2369
B 0.0000 0.6621 0.7631
B 0.5000 0.1621 0.2631
B 0.5000 0.1621 0.7369
B 0.5000 0.8379 0.2631
B 0.5000 0.8379 0.7369
W 0.0000 0.0000 0.5000
W 0.5000 0.5000 0.0000

## Properties
V in Å³ per cell: 123.6
Total magnetic moment in μB per formula unit: 0.0
Space group: Immm

## B
Below is a relaxed structure of KB4W, with properties calculated at the PBE level.

Cell: 3.0209 3.0209 8.3293 Å, 90.00 90.00 120.00°
Sites, in units of the cell vectors:
K 0.0000 0.0000 0.0000
B 0.3333 0.6667 0.3008
B 0.3333 0.6667 0.6992
B 0.6667 0.3333 0.3008
B 0.6667 0.3333 0.6992
W 0.0000 0.0000 0.5000

## Properties
V in Å³ per cell: 65.8
Total magnetic moment in μB per formula unit: 0.0
Space group: P6/mmm

Structures ranked by computed energy, the most stable listed first: B, A.

## A
Below is a relaxed structure of KBW, with properties calculated at the PBE level.

Cell: 6.6121 6.6121 6.6121 Å, 90.00 90.00 90.00°
Sites, in units of the cell vectors:
K 0.0000 0.0000 0.0000
K 0.0000 0.5000 0.5000
K 0.5000 0.0000 0.5000
K 0.5000 0.5000 0.0000
B 0.2500 0.2500 0.7500
B 0.2500 0.7500 0.2500
B 0.7500 0.2500 0.2500
B 0.7500 0.7500 0.7500
W 0.2500 0.2500 0.2500
W 0.2500 0.7500 0.7500
W 0.7500 0.2500 0.7500
W 0.7500 0.7500 0.2500

## Properties
V in Å³ per cell: 289.1
Total magnetic moment in μB per formula unit: 3.3
Space group: F-43m

## B
Below is a relaxed structure of KBW, with properties calculated at the PBE level.

Cell: 5.9831 5.9831 5.9831 Å, 90.00 90.00 90.00°
Sites, in units of the cell vectors:
K 0.0000 0.0000 0.0000
K 0.0000 0.5000 0.5000
K 0.5000 0.0000 0.5000
K 0.5000 0.5000 0.0000
B 0.2500 0.2500 0.2500
B 0.2500 0.7500 0.7500
B 0.7500 0.2500 0.7500
B 0.7500 0.7500 0.2500
W 0.0000 0.0000 0.5000
W 0.0000 0.5000 0.0000
W 0.5000 0.0000 0.0000
W 0.5000 0.5000 0.5000

## Properties
V in Å³ per cell: 214.2
Total magnetic moment in μB per formula unit: 2.0
Space group: F-43m

Structures ranked by computed energy, the most stable listed first: B, A.

## A
Below is a relaxed structure of KZrB, with properties calculated at the PBE level.

Cell: 6.3599 6.3599 6.3599 Å, 90.00 90.00 90.00°
Sites, in units of the cell vectors:
K 0.0000 0.0000 0.0000
K 0.0000 0.5000 0.5000
K 0.5000 0.0000 0.5000
K 0.5000 0.5000 0.0000
Zr 0.0000 0.0000 0.5000
Zr 0.0000 0.5000 0.0000
Zr 0.5000 0.0000 0.0000
Zr 0.5000 0.5000 0.5000
B 0.2500 0.2500 0.2500
B 0.2500 0.7500 0.7500
B 0.7500 0.2500 0.7500
B 0.7500 0.7500 0.2500

## Properties
V in Å³ per cell: 257.3
Total magnetic moment in μB per formula unit: 0.0
Space group: F-43m

## B
Below is a relaxed structure of KZrB, with properties calculated at the PBE level.

Cell: 6.2277 6.2277 6.2277 Å, 90.00 90.00 90.00°
Sites, in units of the cell vectors:
K 0.0000 0.0000 0.0000
K 0.0000 0.5000 0.5000
K 0.5000 0.0000 0.5000
K 0.5000 0.5000 0.0000
Zr 0.2500 0.2500 0.2500
Zr 0.2500 0.7500 0.7500
Zr 0.7500 0.2500 0.7500
Zr 0.7500 0.7500 0.2500
B 0.2500 0.2500 0.7500
B 0.2500 0.7500 0.2500
B 0.7500 0.2500 0.2500
B 0.7500 0.7500 0.7500

## Properties
V in Å³ per cell: 241.5
Total magnetic moment in μB per formula unit: 0.0
Space group: F-43m

Structures ranked by computed energy, the most stable listed first: A, B.

## A
Below is a relaxed structure of LaMgBPd, with properties calculated at the PBE level.

Cell: 6.7370 6.7370 6.7370 Å, 90.00 90.00 90.00°
Sites, in units of the cell vectors:
La 0.0000 0.0000 0.0000
La 0.0000 0.5000 0.5000
La 0.5000 0.0000 0.5000
La 0.5000 0.5000 0.0000
Mg 0.0000 0.0000 0.5000
Mg 0.0000 0.5000 0.0000
Mg 0.5000 0.0000 0.0000
Mg 0.5000 0.5000 0.5000
B 0.2500 0.2500 0.7500
B 0.2500 0.7500 0.2500
B 0.7500 0.2500 0.2500
B 0.7500 0.7500 0.7500
Pd 0.2500 0.2500 0.2500
Pd 0.2500 0.7500 0.7500
Pd 0.7500 0.2500 0.7500
Pd 0.7500 0.7500 0.2500

## Properties
V in Å³ per cell: 305.8
Total magnetic moment in μB per formula unit: 0.0
Space group: F-43m

## B
Below is a relaxed structure of LaMgBPd, with properties calculated at the PBE level.

Cell: 6.6273 6.6273 6.6273 Å, 90.00 90.00 90.00°
Sites, in units of the cell vectors:
La 0.0000 0.0000 0.0000
La 0.0000 0.5000 0.5000
La 0.5000 0.0000 0.5000
La 0.5000 0.5000 0.0000
Mg 0.2500 0.2500 0.7500
Mg 0.2500 0.7500 0.2500
Mg 0.7500 0.2500 0.2500
Mg 0.7500 0.7500 0.7500
B 0.0000 0.0000 0.5000
B 0.0000 0.5000 0.0000
B 0.5000 0.0000 0.0000
B 0.5000 0.5000 0.5000
Pd 0.2500 0.2500 0.2500
Pd 0.2500 0.7500 0.7500
Pd 0.7500 0.2500 0.7500
Pd 0.7500 0.7500 0.2500

## Properties
V in Å³ per cell: 291.1
Total magnetic moment in μB per formula unit: 0.0
Space group: F-43m

Structures ranked by computed energy, the most stable listed first: A, B.